# 1
First-principles (GGA-PBE) data for CsAsPd after structural relaxation, as listed in Alexandria.

Computed properties:
Formation energy from the elements, eV/atom: -0.466
Magnetization, Bohr magnetons per cell: 0.0
SG: P2_1/c
DOS(E_F), states/eV per cell: 5.07

Unit cell a=7.514 b=7.101 c=7.926 alpha=90.00 beta=115.87 gamma=90.00
Sites, in units of the cell vectors:
1 Cs 0.161 0.129 0.373
2 Cs 0.161 0.371 0.873
3 Cs 0.839 0.629 0.127
4 Cs 0.839 0.871 0.627
5 As 0.331 0.648 0.588
6 As 0.331 0.852 0.088
7 As 0.669 0.148 0.912
8 As 0.669 0.352 0.412
9 Pd 0.441 0.619 0.340
10 Pd 0.441 0.881 0.840
11 Pd 0.559 0.119 0.160
12 Pd 0.559 0.381 0.660



# 2
First-principles (GGA-PBE) data for CsAsPd3 after structural relaxation, as listed in Alexandria.

Computed properties:
Formation energy from the elements, eV/atom: -0.003
Polymorph energy (0 for the lowest one), eV per atom: 0.2138
Magnetization, Bohr magnetons per cell: 0.0
SG: Pm-3m
DOS(E_F), states/eV per cell: 7.15

Unit cell a=4.930 b=4.930 c=4.930 alpha=90.00 beta=90.00 gamma=90.00
Sites, in units of the cell vectors:
1 Cs 0.000 0.000 0.000
2 As 0.500 0.500 0.500
3 Pd 0.000 0.500 0.500
4 Pd 0.500 0.000 0.500
5 Pd 0.500 0.500 0.000



# 3
First-principles (GGA-PBE) data for CsAs2Pd2 after structural relaxation, as listed in Alexandria.

Computed properties:
Formation energy from the elements, eV/atom: -0.397
Magnetization, Bohr magnetons per cell: 0.0
SG: C2/c
DOS(E_F), states/eV per cell: 3.38

Unit cell a=6.663 b=6.663 c=8.314 alpha=123.21 beta=123.21 gamma=65.62
Sites, in units of the cell vectors:
1 Cs 0.124 0.876 0.750
2 Cs 0.876 0.124 0.250
3 As 0.269 0.479 0.280
4 As 0.479 0.269 0.780
5 As 0.521 0.731 0.220
6 As 0.731 0.521 0.720
7 Pd 0.181 0.465 0.940
8 Pd 0.465 0.181 0.440
9 Pd 0.535 0.819 0.560
10 Pd 0.819 0.535 0.060



Please write out number 1 again, unchanged.
First-principles (GGA-PBE) data for CsAsPd after structural relaxation, as listed in Alexandria.

Computed properties:
Formation energy from the elements, eV/atom: -0.466
Magnetization, Bohr magnetons per cell: 0.0
SG: P2_1/c
DOS(E_F), states/eV per cell: 5.07

Unit cell a=7.514 b=7.101 c=7.926 alpha=90.00 beta=115.87 gamma=90.00
Sites, in units of the cell vectors:
1 Cs 0.161 0.129 0.373
2 Cs 0.161 0.371 0.873
3 Cs 0.839 0.629 0.127
4 Cs 0.839 0.871 0.627
5 As 0.331 0.648 0.588
6 As 0.331 0.852 0.088
7 As 0.669 0.148 0.912
8 As 0.669 0.352 0.412
9 Pd 0.441 0.619 0.340
10 Pd 0.441 0.881 0.840
11 Pd 0.559 0.119 0.160
12 Pd 0.559 0.381 0.660



What did the second record say?
First-principles (GGA-PBE) data for CsAsPd3 after structural relaxation, as listed in Alexandria.

Computed properties:
Formation energy from the elements, eV/atom: -0.003
Polymorph energy (0 for the lowest one), eV per atom: 0.2138
Magnetization, Bohr magnetons per cell: 0.0
SG: Pm-3m
DOS(E_F), states/eV per cell: 7.15

Unit cell a=4.930 b=4.930 c=4.930 alpha=90.00 beta=90.00 gamma=90.00
Sites, in units of the cell vectors:
1 Cs 0.000 0.000 0.000
2 As 0.500 0.500 0.500
3 Pd 0.000 0.500 0.500
4 Pd 0.500 0.000 0.500
5 Pd 0.500 0.500 0.000